w:
The following is a PBE calculation of PrPaGe after structural relaxation, from the Alexandria database.

calculated density = 9.2 g cm⁻³
crystal system = trigonal

Cell: 4.0018 4.8186 4.8186 Å, 120.00 90.00 90.00°
Last column: nearest neighbours and their distance in Å.
Fractional coordinates of all 3 atoms:
Pa: 0.0725 0.0000 0.0000  3 Ge 2.93
Pr: 0.6267 0.6667 0.3333  3 Ge 3.07, 3 Pa 3.30
Ge: 0.3009 0.3333 0.6667  3 Pa 2.93, 3 Pr 3.07



x:
The following is a PBE calculation of PrPaGe after structural relaxation, from the Alexandria database.

calculated density = 8.0 g cm⁻³
crystal system = tetragonal

Cell: 5.5440 5.5440 5.9947 Å, 90.00 90.00 90.00°
Last column: nearest neighbours and their distance in Å.
Fractional coordinates of all 6 atoms:
Pa: 0.0000 0.5000 0.0000  2 Pr 2.77
Pa: 0.5000 0.0000 0.5000  2 Pr 2.77
Ge: 0.0000 0.0000 0.7500  2 Ge 3.00, 4 Pa 3.15
Ge: 0.0000 0.0000 0.2500  2 Ge 3.00, 4 Pa 3.15
Pr: 0.5000 0.5000 0.5000  2 Pa 2.77, 2 Pr 3.00
Pr: 0.5000 0.5000 0.0000  2 Pa 2.77, 2 Pr 3.00



It is w that is the most stable of them.



w:
The following is a PBE calculation of Pa2GePt after structural relaxation, from the Alexandria database.

calculated density = 13.7 g cm⁻³
crystal system = cubic

Cell: 4.9980 4.9980 4.9980 Å, 60.00 60.00 60.00°
Last column: nearest neighbours and their distance in Å.
Fractional coordinates of all 4 atoms:
Pt: 0.0000 0.0000 0.0000  8 Pa 3.06
Pa: 0.7500 0.7500 0.7500  4 Pt 3.06, 4 Ge 3.06
Pa: 0.2500 0.2500 0.2500  4 Pt 3.06, 4 Ge 3.06
Ge: 0.5000 0.5000 0.5000  8 Pa 3.06



x:
The following is a PBE calculation of Pa2GePt after structural relaxation, from the Alexandria database.

calculated density = 13.3 g cm⁻³
crystal system = monoclinic

Cell: 3.9828 5.9549 8.2050 Å, 110.91 90.00 90.00°
Last column: nearest neighbours and their distance in Å.
Fractional coordinates of all 8 atoms:
Pa: 0.2500 0.7868 0.0913  2 Pt 2.88, 4 Ge 2.96-3.23
Pa: 0.2500 0.7905 0.5601  4 Pt 2.89-3.23, 2 Ge 3.02
Pa: 0.7500 0.2095 0.4399  4 Pt 2.89-3.23, 2 Ge 3.02
Pa: 0.7500 0.2132 0.9087  2 Pt 2.88, 4 Ge 2.96-3.23
Pt: 0.2500 0.3595 0.7126  2 Ge 2.68, 4 Pa 2.88-2.89
Pt: 0.7500 0.6405 0.2874  2 Ge 2.68, 4 Pa 2.88-2.89
Ge: 0.2500 0.3175 0.2008  2 Pt 2.68, 1 Pa 2.96
Ge: 0.7500 0.6825 0.7992  2 Pt 2.68, 1 Pa 2.96



It is x that is the most stable of them.



w:
The following is a PBE calculation of Pa2GePt after structural relaxation, from the Alexandria database.

calculated density = 13.3 g cm⁻³
crystal system = trigonal

Cell: 4.6573 4.6573 5.5368 Å, 65.13 65.13 60.00°
Last column: nearest neighbours and their distance in Å.
Fractional coordinates of all 4 atoms:
Ge: 0.5000 0.5000 0.5000  6 Pa 2.95
Pa: 0.2496 0.2496 0.2511  3 Ge 2.95, 3 Pt 2.95
Pa: 0.7504 0.7504 0.7489  3 Ge 2.95, 3 Pt 2.95
Pt: 0.0000 0.0000 0.0000  6 Pa 2.95



x:
The following is a PBE calculation of Pa2GePt after structural relaxation, from the Alexandria database.

calculated density = 14.1 g cm⁻³
crystal system = tetragonal

Cell: 3.7514 3.7514 6.1017 Å, 90.00 90.00 90.00°
Last column: nearest neighbours and their distance in Å.
Fractional coordinates of all 4 atoms:
Pa: 0.0000 0.0000 0.7498  2 Pa 3.05, 4 Ge 3.06, 4 Pt 3.06
Pa: 0.0000 0.0000 0.2502  2 Pa 3.05, 4 Ge 3.06, 4 Pt 3.06
Pt: 0.5000 0.5000 0.0000  2 Ge 3.05, 8 Pa 3.06
Ge: 0.5000 0.5000 0.5000  2 Pt 3.05, 8 Pa 3.06



It is x that is the most stable of them.



w:
The following is a PBE calculation of Pa2Ge3Pt5 after structural relaxation, from the Alexandria database.

calculated density = 14.8 g cm⁻³
crystal system = orthorhombic

Cell: 4.2592 7.2254 12.2398 Å, 90.00 100.02 90.00°
Last column: nearest neighbours and their distance in Å.
Fractional coordinates of all 20 atoms:
Pa: 0.1784 0.7746 0.3569  9 Pt 2.95-3.29, 3 Ge 3.17-3.28
Pa: 0.5263 0.2058 0.0526  5 Pt 2.85-3.12, 3 Ge 3.00-3.17
Pa: 0.4737 0.7058 0.9474  5 Pt 2.85-3.12, 3 Ge 3.00-3.17
Pa: 0.8216 0.2746 0.6431  9 Pt 2.95-3.29, 3 Ge 3.17-3.28
Ge: 0.2142 0.2957 0.4284  7 Pt 2.62-2.81
Ge: 0.0456 0.8732 0.0912  5 Pt 2.57-2.69
Ge: 0.3895 0.0419 0.7790  4 Pt 2.55-2.66
Ge: 0.7858 0.7957 0.5716  7 Pt 2.62-2.81
Ge: 0.9544 0.3732 0.9088  5 Pt 2.57-2.69
Ge: 0.6105 0.5419 0.2210  4 Pt 2.55-2.66
Pt: 0.7053 0.0762 0.4106  3 Ge 2.66-2.81, 3 Pt 2.72-2.87
Pt: 0.8879 0.6721 0.7757  2 Ge 2.62-2.69, 3 Pt 2.81-2.86
Pt: 0.0532 0.5084 0.1063  4 Ge 2.55-2.64, 1 Pt 2.81
Pt: 0.7174 0.5077 0.4348  4 Ge 2.59-2.66, 2 Pt 2.87
Pt: 0.2947 0.5762 0.5894  3 Ge 2.66-2.81, 3 Pt 2.72-2.87
Pt: 0.6042 0.9093 0.2083  3 Ge 2.57-2.66, 3 Pt 2.72-2.86, 1 Pa 2.85
Pt: 0.1121 0.1721 0.2243  2 Ge 2.62-2.69, 3 Pt 2.81-2.86
Pt: 0.3958 0.4093 0.7917  3 Ge 2.57-2.66, 3 Pt 2.72-2.86, 1 Pa 2.85
Pt: 0.9468 0.0084 0.8937  4 Ge 2.55-2.64, 1 Pt 2.81
Pt: 0.2826 0.0077 0.5652  4 Ge 2.59-2.66, 2 Pt 2.87



x:
The following is a PBE calculation of Pa2Ge3Pt5 after structural relaxation, from the Alexandria database.

calculated density = 14.7 g cm⁻³
crystal system = orthorhombic

Cell: 5.7480 8.5549 8.5549 Å, 81.63 70.37 70.37°
Last column: nearest neighbours and their distance in Å.
Fractional coordinates of all 20 atoms:
Ge: 0.8628 0.7551 0.5193  5 Pt 2.42-2.52
Ge: 0.3628 0.5193 0.7551  5 Pt 2.42-2.52
Ge: 0.7500 0.0000 0.0000  6 Pt 2.65, 2 Ge 2.87
Ge: 0.1372 0.2449 0.4807  5 Pt 2.42-2.52
Ge: 0.6372 0.4807 0.2449  5 Pt 2.42-2.52
Ge: 0.2500 0.0000 0.0000  6 Pt 2.65, 2 Ge 2.87
Pt: 0.0215 0.2285 0.2285  3 Ge 2.50-2.65, 2 Pt 2.78
Pt: 0.9785 0.7715 0.7715  3 Ge 2.50-2.65, 2 Pt 2.78
Pt: 0.3972 0.2714 0.9341  3 Ge 2.42-2.65
Pt: 0.6028 0.7286 0.0659  3 Ge 2.42-2.65
Pt: 0.2500 0.5000 0.5000  4 Ge 2.52
Pt: 0.1028 0.0659 0.7286  3 Ge 2.42-2.65
Pt: 0.8972 0.9341 0.2714  3 Ge 2.42-2.65
Pt: 0.7500 0.5000 0.5000  4 Ge 2.52
Pt: 0.4785 0.7715 0.7715  3 Ge 2.50-2.65, 2 Pt 2.78
Pt: 0.5215 0.2285 0.2285  3 Ge 2.50-2.65, 2 Pt 2.78
Pa: 0.3721 0.8595 0.3963  4 Pt 2.90-3.20, 3 Ge 3.14-3.20
Pa: 0.1279 0.6037 0.1405  4 Pt 2.90-3.20, 3 Ge 3.14-3.20
Pa: 0.8721 0.3963 0.8595  4 Pt 2.90-3.20, 3 Ge 3.14-3.20
Pa: 0.6279 0.1405 0.6037  4 Pt 2.90-3.20, 3 Ge 3.14-3.20



It is w that is the most stable of them.



w:
The following is a PBE calculation of Pu3PaGe2 after structural relaxation, from the Alexandria database.

calculated density = 15.7 g cm⁻³
crystal system = monoclinic

Cell: 4.4324 7.2245 8.8209 Å, 119.67 104.55 90.00°
Last column: nearest neighbours and their distance in Å.
Fractional coordinates of all 12 atoms:
Pa: 0.1227 0.0843 0.2455  1 Pu 2.54
Pa: 0.8773 0.9157 0.7545  1 Pu 2.54
Pu: 0.6207 0.6747 0.2414  3 Pu 2.48-2.50
Pu: 0.0671 0.4935 0.1342  3 Pu 2.34-2.50
Pu: 0.2685 0.4504 0.5371  3 Pu 2.48-2.51, 1 Pa 2.54
Pu: 0.3793 0.3253 0.7586  3 Pu 2.48-2.50
Pu: 0.7315 0.5496 0.4629  3 Pu 2.48-2.51, 1 Pa 2.54
Pu: 0.9329 0.5065 0.8658  3 Pu 2.34-2.50
Ge: 0.4756 0.7993 0.9512  1 Ge 2.58
Ge: 0.7489 0.1484 0.4978  7 Pu 2.87-3.06, 2 Pa 2.96, 2 Ge 3.10
Ge: 0.2511 0.8516 0.5022  7 Pu 2.87-3.06, 2 Pa 2.96, 2 Ge 3.10
Ge: 0.5244 0.2007 0.0488  1 Ge 2.58



x:
The following is a PBE calculation of Pu3PaGe2 after structural relaxation, from the Alexandria database.

calculated density = 13.9 g cm⁻³
crystal system = trigonal

Cell: 10.3769 10.3769 10.3769 Å, 31.11 31.11 31.11°
Last column: nearest neighbours and their distance in Å.
Fractional coordinates of all 12 atoms:
Pu: 0.7500 0.4361 0.0639  6 Pu 3.03-3.31, 4 Ge 3.06-3.09, 2 Pa 3.12
Pu: 0.5639 0.9361 0.2500  6 Pu 3.03-3.31, 4 Ge 3.06-3.09, 2 Pa 3.12
Pu: 0.9361 0.2500 0.5639  6 Pu 3.03-3.31, 4 Ge 3.06-3.09, 2 Pa 3.12
Pu: 0.2500 0.5639 0.9361  6 Pu 3.03-3.31, 4 Ge 3.06-3.09, 2 Pa 3.12
Pu: 0.4361 0.0639 0.7500  6 Pu 3.03-3.31, 4 Ge 3.06-3.09, 2 Pa 3.12
Pu: 0.0639 0.7500 0.4361  6 Pu 3.03-3.31, 4 Ge 3.06-3.09, 2 Pa 3.12
Ge: 0.1652 0.1652 0.1652  6 Pu 3.06-3.09, 3 Pa 3.21, 3 Ge 3.21
Ge: 0.3348 0.3348 0.3348  6 Pu 3.06-3.09, 3 Pa 3.21, 3 Ge 3.21
Ge: 0.8348 0.8348 0.8348  6 Pu 3.06-3.09, 3 Pa 3.21, 3 Ge 3.21
Ge: 0.6652 0.6652 0.6652  6 Pu 3.06-3.09, 3 Pa 3.21, 3 Ge 3.21
Pa: 0.0000 0.0000 0.0000  6 Pu 3.12, 6 Ge 3.21
Pa: 0.5000 0.5000 0.5000  6 Pu 3.12, 6 Ge 3.21



It is w that is the most stable of them.



w:
The following is a PBE calculation of PuPaGe2 after structural relaxation, from the Alexandria database.

calculated density = 10.0 g cm⁻³
crystal system = trigonal

Cell: 4.1335 4.1335 7.3817 Å, 73.74 73.74 60.00°
Last column: nearest neighbours and their distance in Å.
Fractional coordinates of all 4 atoms:
Ge: 0.0797 0.0797 0.7608  3 Pa 2.90, 3 Pu 3.00
Ge: 0.2532 0.2532 0.2405  3 Pa 2.93, 3 Pu 3.00
Pu: 0.4997 0.4997 0.5008  6 Ge 3.00
Pa: 0.6674 0.6674 0.9978  6 Ge 2.90-2.93



x:
The following is a PBE calculation of PuPaGe2 after structural relaxation, from the Alexandria database.

calculated density = 11.2 g cm⁻³
crystal system = trigonal

Cell: 4.7040 4.7040 5.5174 Å, 64.77 64.77 60.00°
Last column: nearest neighbours and their distance in Å.
Fractional coordinates of all 4 atoms:
Pu: 0.0000 0.0000 0.0000  6 Ge 2.98
Pa: 0.5000 0.5000 0.5000  6 Ge 2.96
Ge: 0.2489 0.2489 0.2533  3 Pa 2.96, 3 Pu 2.98
Ge: 0.7511 0.7511 0.7467  3 Pa 2.96, 3 Pu 2.98



y:
The following is a PBE calculation of PuPaGe2 after structural relaxation, from the Alexandria database.

calculated density = 11.2 g cm⁻³
crystal system = monoclinic

Cell: 5.9987 5.9967 11.1555 Å, 90.00 113.13 90.00°
Last column: nearest neighbours and their distance in Å.
Fractional coordinates of all 16 atoms:
Ge: 0.4110 0.6702 0.6014  1 Ge 2.53
Ge: 0.5934 0.1642 0.8977  1 Ge 2.53
Ge: 0.4066 0.8358 0.1023  1 Ge 2.53
Ge: 0.0934 0.8358 0.3977  1 Ge 2.53
Ge: 0.5890 0.3298 0.3986  1 Ge 2.53
Ge: 0.9066 0.1642 0.6023  1 Ge 2.53
Ge: 0.9110 0.3298 0.1014  1 Ge 2.53
Ge: 0.0890 0.6702 0.8986  1 Ge 2.53
Pu: 0.5840 0.6719 0.8832  1 Pa 2.71, 3 Ge 2.90-2.97
Pu: 0.9160 0.6719 0.6168  1 Pa 2.71, 3 Ge 2.90-2.97
Pu: 0.4160 0.3281 0.1168  1 Pa 2.71, 3 Ge 2.90-2.97
Pu: 0.0840 0.3281 0.3832  1 Pa 2.71, 3 Ge 2.90-2.97
Pa: 0.9101 0.8234 0.1143  1 Pu 2.71, 3 Ge 2.91-2.97
Pa: 0.5899 0.8234 0.3857  1 Pu 2.71, 3 Ge 2.91-2.97
Pa: 0.4101 0.1766 0.6143  1 Pu 2.71, 3 Ge 2.91-2.97
Pa: 0.0899 0.1766 0.8857  1 Pu 2.71, 3 Ge 2.91-2.97



It is y that is the most stable of them.



w:
The following is a PBE calculation of PuPa3Ge3 after structural relaxation, from the Alexandria database.

calculated density = 12.2 g cm⁻³
crystal system = monoclinic

Cell: 6.0394 6.0394 9.1537 Å, 89.53 89.53 109.94°
Last column: nearest neighbours and their distance in Å.
Fractional coordinates of all 14 atoms:
Pa: 0.4494 0.4494 0.6967  1 Pu 2.56
Pa: 0.8557 0.1443 0.5000  1 Pa 2.85, 6 Ge 2.92-3.00
Pa: 0.2182 0.7818 0.0000  6 Ge 2.92-3.07, 2 Pu 3.02
Pa: 0.7818 0.2182 0.0000  6 Ge 2.92-3.07, 2 Pu 3.02
Pa: 0.5506 0.5506 0.3033  1 Pu 2.56
Pa: 0.1443 0.8557 0.5000  1 Pa 2.85, 6 Ge 2.92-3.00
Ge: 0.4916 0.0370 0.2659  6 Pa 2.92-3.09, 1 Pu 2.96, 2 Ge 3.06-3.11
Ge: 0.0370 0.4916 0.2659  6 Pa 2.92-3.09, 1 Pu 2.96, 2 Ge 3.06-3.11
Ge: 0.9630 0.5084 0.7341  6 Pa 2.92-3.09, 1 Pu 2.96, 2 Ge 3.06-3.11
Ge: 0.9631 0.9631 0.2142  5 Pa 2.92-2.99, 1 Pu 3.03, 4 Ge 3.06-3.11
Ge: 0.0369 0.0369 0.7858  5 Pa 2.92-2.99, 1 Pu 3.03, 4 Ge 3.06-3.11
Ge: 0.5084 0.9630 0.7341  6 Pa 2.92-3.09, 1 Pu 2.96, 2 Ge 3.06-3.11
Pu: 0.3581 0.3581 0.0672  1 Pu 2.31, 1 Pa 2.56
Pu: 0.6419 0.6419 0.9328  1 Pu 2.31, 1 Pa 2.56



x:
The following is a PBE calculation of PuPa3Ge3 after structural relaxation, from the Alexandria database.

calculated density = 11.5 g cm⁻³
crystal system = orthorhombic

Cell: 9.5900 9.5900 12.1180 Å, 90.00 90.00 143.05°
Last column: nearest neighbours and their distance in Å.
Fractional coordinates of all 28 atoms:
Pa: 0.7603 0.7603 0.8846  2 Pu 2.54
Pa: 0.1200 0.4559 0.3794  1 Pu 2.46
Pa: 0.0441 0.3800 0.8794  1 Pu 2.46
Pa: 0.8800 0.5441 0.6206  1 Pu 2.46
Pa: 0.6200 0.9559 0.1206  1 Pu 2.46
Pa: 0.2603 0.2603 0.6154  2 Pu 2.54
Pa: 0.2397 0.2397 0.1154  2 Pu 2.54
Pa: 0.5441 0.8800 0.6206  1 Pu 2.46
Pa: 0.9559 0.6200 0.1206  1 Pu 2.46
Pa: 0.7397 0.7397 0.3846  2 Pu 2.54
Pa: 0.4559 0.1200 0.3794  1 Pu 2.46
Pa: 0.3800 0.0441 0.8794  1 Pu 2.46
Ge: 0.2273 0.2273 0.3607  2 Pu 2.83, 6 Pa 2.97-3.13
Ge: 0.5399 0.8759 0.8685  1 Pu 2.82, 6 Pa 2.99-3.09
Ge: 0.8759 0.5399 0.8685  1 Pu 2.82, 6 Pa 2.99-3.09
Ge: 0.4601 0.1241 0.1315  1 Pu 2.82, 6 Pa 2.99-3.09
Ge: 0.7273 0.7273 0.1393  2 Pu 2.83, 6 Pa 2.97-3.13
Ge: 0.1241 0.4601 0.1315  1 Pu 2.82, 6 Pa 2.99-3.09
Ge: 0.0399 0.3759 0.6315  1 Pu 2.82, 6 Pa 2.99-3.09
Ge: 0.3759 0.0399 0.6315  1 Pu 2.82, 6 Pa 2.99-3.09
Ge: 0.6241 0.9601 0.3685  1 Pu 2.82, 6 Pa 2.99-3.09
Ge: 0.9601 0.6241 0.3685  1 Pu 2.82, 6 Pa 2.99-3.09
Ge: 0.7727 0.7727 0.6393  2 Pu 2.83, 6 Pa 2.97-3.13
Ge: 0.2727 0.2727 0.8607  2 Pu 2.83, 6 Pa 2.97-3.13
Pu: 0.0851 0.9149 0.0000  4 Pa 2.46-2.54
Pu: 0.9149 0.0851 0.0000  4 Pa 2.46-2.54
Pu: 0.5851 0.4149 0.5000  4 Pa 2.46-2.54
Pu: 0.4149 0.5851 0.5000  4 Pa 2.46-2.54



It is x that is the most stable of them.



w:
The following is a PBE calculation of Pu2Pa3Ge3 after structural relaxation, from the Alexandria database.

calculated density = 13.4 g cm⁻³
crystal system = orthorhombic

Cell: 3.6979 5.0100 9.8840 Å, 104.68 100.78 90.00°
Last column: nearest neighbours and their distance in Å.
Fractional coordinates of all 8 atoms:
Ge: 0.1382 0.1382 0.2764  4 Pu 3.05-3.07, 6 Pa 3.12-3.18
Ge: 0.8618 0.8618 0.7236  4 Pu 3.05-3.07, 6 Pa 3.12-3.18
Ge: 0.0000 0.5000 0.0000  8 Pa 3.00-3.11
Pa: 0.6261 0.6261 0.2522  2 Pu 2.72, 2 Ge 3.00
Pa: 0.5000 0.0000 0.0000  8 Ge 3.11-3.18, 4 Pa 3.45
Pa: 0.3739 0.3739 0.7478  2 Pu 2.72, 2 Ge 3.00
Pu: 0.2327 0.7327 0.4653  2 Pa 2.72, 2 Ge 3.05
Pu: 0.7673 0.2673 0.5347  2 Pa 2.72, 2 Ge 3.05



x:
The following is a PBE calculation of Pu2Pa3Ge3 after structural relaxation, from the Alexandria database.

calculated density = 12.9 g cm⁻³
crystal system = monoclinic

Cell: 4.9581 5.9518 13.2474 Å, 90.00 90.00 112.39°
Last column: nearest neighbours and their distance in Å.
Fractional coordinates of all 16 atoms:
Pu: 0.7514 0.7486 0.8681  2 Pa 2.83, 5 Ge 2.93-3.10, 1 Pu 3.13
Pu: 0.2486 0.2514 0.3681  2 Pa 2.83, 5 Ge 2.93-3.10, 1 Pu 3.13
Pu: 0.7514 0.7486 0.6319  2 Pa 2.83, 5 Ge 2.93-3.10, 1 Pu 3.13
Pu: 0.2486 0.2514 0.1319  2 Pa 2.83, 5 Ge 2.93-3.10, 1 Pu 3.13
Ge: 0.2487 0.2488 0.6009  6 Pa 3.02-3.17, 3 Pu 3.08-3.10
Ge: 0.2487 0.2488 0.8991  6 Pa 3.02-3.17, 3 Pu 3.08-3.10
Ge: 0.7513 0.7512 0.1009  6 Pa 3.02-3.17, 3 Pu 3.08-3.10
Ge: 0.7503 0.2551 0.2500  4 Pa 2.93-3.07, 4 Pu 2.93
Ge: 0.7513 0.7512 0.3991  6 Pa 3.02-3.17, 3 Pu 3.08-3.10
Ge: 0.2497 0.7449 0.7500  4 Pa 2.93-3.07, 4 Pu 2.93
Pa: 0.7489 0.2502 0.4711  2 Pu 2.83, 5 Ge 2.93-3.13, 2 Pa 3.15-3.16
Pa: 0.2511 0.7498 0.9711  2 Pu 2.83, 5 Ge 2.93-3.13, 2 Pa 3.15-3.16
Pa: 0.7463 0.2461 0.7500  6 Ge 3.06-3.17, 4 Pu 3.36-3.37
Pa: 0.7489 0.2502 0.0289  2 Pu 2.83, 5 Ge 2.93-3.13, 2 Pa 3.15-3.16
Pa: 0.2537 0.7539 0.2500  6 Ge 3.06-3.17, 4 Pu 3.36-3.37
Pa: 0.2511 0.7498 0.5289  2 Pu 2.83, 5 Ge 2.93-3.13, 2 Pa 3.15-3.16



It is w that is the most stable of them.